Entry 1:
First-principles (PBE) data for a relaxed Er2ZrSc crystal, as listed in Alexandria.

Results
ΔE_f	0.08	eV/atom
crystal system	monoclinic
space-group type	C2/m

The structure in extended XYZ format:
```
4
Lattice="-2.333 1.990 -1.326 -5.635 -2.684 -2.525 -0.699 0.196 5.735" Properties=species:S:1:pos:R:3 pbc="T T T"
Er -2.355 1.968 -1.319
Er -3.495 -1.123 4.465
Zr -2.925 0.422 1.573
Sc -5.743 -0.920 0.310
```


Entry 2:
First-principles (PBE) data for a relaxed Fe2WBr crystal, as listed in Alexandria.

Results
energy relative to the elements, uncorrected	1.053	eV per atom
crystal system	tetragonal
space-group type	I-4m2

The structure in extended XYZ format:
```
4
Lattice="-4.726 1.540 0.301 -2.615 -1.765 3.852 4.437 2.177 -0.611" Properties=species:S:1:pos:R:3 pbc="T T T"
Br -1.980 1.802 0.883
Fe 0.000 0.000 0.000
Fe -0.925 0.150 2.659
W -3.671 -0.113 2.077
```


Entry 3:
First-principles (PBE) data for a relaxed Nb2Ni15Sb2 crystal, as listed in Alexandria.

Results
energy relative to the elements, uncorrected	-0.008	eV per atom
crystal system	trigonal
space-group type	R-3m

The structure in extended XYZ format:
```
19
Lattice="-3.119 -2.730 4.789 0.081 -5.952 -2.166 5.019 -2.064 3.266" Properties=species:S:1:pos:R:3 pbc="T T T"
Nb 0.214 -1.162 0.637
Nb 1.767 -9.584 5.252
Ni -1.559 -1.365 2.395
Ni 2.510 -1.032 1.633
Ni 0.041 -2.976 -1.083
Ni 1.597 -4.758 -0.498
Ni -2.136 -3.719 2.654
Ni 2.521 -2.269 3.734
Ni -0.901 -4.962 -0.030
Ni -0.620 -2.526 4.322
Ni 3.503 -3.258 1.598
Ni 2.825 -5.693 1.506
Ni -1.163 -6.019 2.253
Ni 1.257 -4.114 4.914
Ni -0.843 -5.053 4.383
Ni 3.145 -4.727 3.637
Ni 0.725 -6.632 0.975
Sb 0.698 -3.786 2.075
Sb 1.284 -6.960 3.815
```


Entry 4:
First-principles (PBE) data for a relaxed PaRh2Au crystal, as listed in Alexandria.

Results
ΔE_f	-0.58	eV/atom
crystal system	tetragonal
space-group type	P4/mmm

The structure in extended XYZ format:
```
4
Lattice="3.512 0.000 0.000 0.000 3.512 0.000 0.000 0.000 5.976" Properties=species:S:1:pos:R:3 pbc="T T T"
Rh 0.000 0.000 4.559
Rh 0.000 0.000 1.418
Pa 1.756 1.756 0.000
Au 1.756 1.756 2.988
```


Entry 5:
First-principles (PBE) data for a relaxed KCo2Tc crystal, as listed in Alexandria.

Results
ΔE_f	1.28	eV/atom
crystal system	orthorhombic
space-group type	Immm

The structure in extended XYZ format:
```
4
Lattice="-2.092 2.383 4.736 -5.510 -1.247 0.754 5.472 -1.577 -0.222" Properties=species:S:1:pos:R:3 pbc="T T T"
Co -0.446 0.067 0.322
Co -3.355 0.501 2.423
K -0.210 0.687 3.630
Tc -1.919 -1.128 1.639
```


Entry 6:
First-principles (PBE) data for a relaxed MgNbH crystal, as listed in Alexandria.

Results
crystal system	triclinic
space-group type	P1

The structure in extended XYZ format:
```
6
Lattice="-0.134 2.626 -1.396 -4.000 2.431 3.339 3.528 1.748 2.965" Properties=species:S:1:pos:R:3 pbc="T T T"
H -1.117 3.913 2.614
H 0.666 4.808 4.123
Mg 1.853 3.200 1.572
Mg -0.910 3.348 0.675
Nb -0.165 3.086 4.052
Nb -2.909 3.344 3.070
```


Entry 7:
First-principles (PBE) data for a relaxed Ba3NiP2S8 crystal, as listed in Alexandria.

Results
energy relative to the elements, uncorrected	-1.022	eV per atom
crystal system	trigonal
space-group type	P-3m1

The structure in extended XYZ format:
```
14
Lattice="6.641 0.000 0.000 -3.320 5.751 0.000 0.000 0.000 8.746" Properties=species:S:1:pos:R:3 pbc="T T T"
Ba 0.000 3.834 5.545
Ba 3.320 1.917 3.201
Ba 0.000 0.000 0.000
Ni 0.000 0.000 4.373
P 0.000 3.834 1.972
P 3.320 1.917 6.774
S 0.000 3.834 8.691
S 3.320 1.917 0.055
S -1.697 4.814 2.765
S 5.018 0.937 5.981
S 0.000 1.874 2.765
S 3.320 3.877 5.981
S 1.697 4.814 2.765
S 1.623 0.937 5.981
```


Entry 8:
First-principles (PBE) data for a relaxed Mn3Tl2Br8 crystal, as listed in Alexandria.

Results
energy relative to the elements, uncorrected	-0.798	eV per atom
crystal system	monoclinic
space-group type	C2/m

The structure in extended XYZ format:
```
13
Lattice="-1.390 -3.003 6.123 -0.944 -7.065 -3.679 8.423 3.056 0.714" Properties=species:S:1:pos:R:3 pbc="T T T"
Mn -0.695 -1.502 3.062
Mn -0.245 -1.831 -0.954
Mn -0.700 -5.234 -2.726
Tl 3.736 -1.252 1.444
Tl 2.352 -5.761 1.714
Br -0.127 -6.480 3.732
Br 6.216 -0.532 -0.574
Br 0.293 -2.786 5.273
Br 5.795 -4.227 -2.115
Br 5.334 -4.108 1.849
Br 5.839 -0.335 3.815
Br 0.250 -6.677 -0.657
Br 0.754 -2.904 1.309
```


Entry 9:
First-principles (PBE) data for a relaxed Si2NiI crystal, as listed in Alexandria.

Results
energy relative to the elements, uncorrected	0.311	eV per atom
crystal system	tetragonal
space-group type	I-42d

The structure in extended XYZ format:
```
8
Lattice="-0.956 -1.941 -5.313 -1.104 -5.220 2.106 -6.746 -2.165 -1.092" Properties=species:S:1:pos:R:3 pbc="T T T"
I 0.000 0.000 0.000
I -4.366 -3.843 -4.004
Ni -1.030 -3.581 -1.604
Ni -4.440 -5.483 -0.295
Si -2.296 -2.152 -2.633
Si -2.621 -4.301 -0.318
Si -5.977 -4.994 -1.746
Si -6.717 -7.205 -3.902
```


Entry 10:
First-principles (PBE) data for a relaxed DyTmTh2Sb5 crystal, as listed in Alexandria.

Results
energy relative to the elements, uncorrected	-0.224	eV per atom
crystal system	tetragonal
space-group type	P4/mmm

The structure in extended XYZ format:
```
9
Lattice="5.220 0.000 0.000 0.000 5.220 0.000 0.000 0.000 11.452" Properties=species:S:1:pos:R:3 pbc="T T T"
Dy 0.000 0.000 0.000
Tm 0.000 0.000 5.726
Th 2.610 2.610 3.426
Th 2.610 2.610 8.025
Sb 0.000 2.610 5.726
Sb 2.610 0.000 5.726
Sb 0.000 0.000 8.608
Sb 0.000 0.000 2.844
Sb 2.610 2.610 0.000
```


Entry 11:
First-principles (PBE) data for a relaxed CaH6S2N2 crystal, as listed in Alexandria.

Results
crystal system	triclinic
space-group type	P-1

The structure in extended XYZ format:
```
11
Lattice="-1.370 -1.252 -4.797 -6.080 -2.315 -0.426 2.405 6.871 -2.477" Properties=species:S:1:pos:R:3 pbc="T T T"
Ca 0.518 2.809 -3.637
H -2.162 3.962 -4.090
H -3.298 -1.108 -5.123
H -2.544 2.983 -2.815
H -1.747 4.412 -2.578
H -2.501 0.321 -4.886
H -2.883 -0.658 -3.610
S -0.007 3.195 -6.344
S -5.038 0.109 -1.356
N -1.811 3.601 -3.199
N -3.234 -0.297 -4.501
```


Entry 12:
First-principles (PBE) data for a relaxed Ac3Tb12Th crystal, as listed in Alexandria.

Results
ΔE_f	0.05	eV/atom
crystal system	tetragonal
space-group type	P4/mmm

The structure in extended XYZ format:
```
16
Lattice="-0.637 -3.683 3.541 3.108 -3.111 -2.677 16.221 7.227 10.434" Properties=species:S:1:pos:R:3 pbc="T T T"
Ac 4.007 1.785 2.578
Ac 8.111 3.614 5.217
Ac 12.214 5.442 7.857
Tb 1.236 -3.397 0.432
Tb 5.236 -1.615 3.005
Tb 9.347 0.216 5.649
Tb 13.457 2.048 8.293
Tb 1.592 -0.991 2.999
Tb 5.731 0.854 5.662
Tb 9.854 2.690 8.314
Tb 13.993 4.535 10.976
Tb 3.464 -0.705 -0.110
Tb 7.604 1.140 2.553
Tb 11.726 2.976 5.204
Tb 15.866 4.821 7.867
Th 0.000 0.000 0.000
```


Entry 13:
First-principles (PBE) data for a relaxed AlAgAu14 crystal, as listed in Alexandria.

Results
ΔE_f	-0.06	eV/atom
crystal system	tetragonal
space-group type	P4/mmm

The structure in extended XYZ format:
```
16
Lattice="-2.477 1.121 -5.438 0.244 -5.926 -1.333 -7.054 -0.969 3.014" Properties=species:S:1:pos:R:3 pbc="T T T"
Al -4.364 -2.286 -1.032
Ag -5.481 -4.689 -4.417
Au -1.954 -4.205 -5.924
Au -0.837 -1.802 -2.539
Au -5.603 -1.726 -3.751
Au -2.076 -1.241 -5.258
Au -4.242 -5.249 -1.699
Au -0.715 -4.765 -3.206
Au -3.304 -0.325 -2.774
Au -6.756 -0.799 -1.299
Au -1.972 -3.773 -0.766
Au -5.425 -4.247 0.709
Au -3.184 -3.225 -3.426
Au -6.637 -3.699 -1.951
Au -2.092 -0.874 -0.113
Au -5.544 -1.348 1.361
```


Entry 14:
First-principles (PBE) data for a relaxed SmDy3Pt crystal, as listed in Alexandria.

Results
ΔE_f	-0.47	eV/atom
crystal system	monoclinic
space-group type	P2_1/m

The structure in extended XYZ format:
```
10
Lattice="-3.672 -3.387 1.070 -0.283 -1.671 -6.265 5.967 -6.347 0.385" Properties=species:S:1:pos:R:3 pbc="T T T"
Sm 2.501 -5.956 -1.111
Sm -1.816 -4.593 0.587
Dy -0.263 -3.264 -2.072
Dy -1.585 -2.811 -5.175
Dy -0.550 -6.794 -2.038
Dy 0.665 -8.958 -4.717
Dy 1.985 -9.411 -1.614
Dy 0.953 -5.427 -4.751
Pt 2.843 -7.156 -3.737
Pt -2.441 -5.065 -3.052
```


Entry 15:
First-principles (PBE) data for a relaxed InPt2Rh2 crystal, as listed in Alexandria.

Results
ΔE_f	-0.03	eV/atom
crystal system	orthorhombic
space-group type	Immm

The structure in extended XYZ format:
```
5
Lattice="4.771 0.109 -1.438 -1.883 3.719 -2.732 0.710 -0.460 4.911" Properties=species:S:1:pos:R:3 pbc="T T T"
In 0.000 0.000 0.000
Pt 2.557 1.842 -1.380
Pt 1.041 1.526 2.121
Rh 0.272 2.767 -0.151
Rh 3.326 0.600 0.891
```


Entry 16:
First-principles (PBE) data for a relaxed FeCSe2Br crystal, as listed in Alexandria.

Results
energy relative to the elements, uncorrected	1.326	eV per atom
crystal system	tetragonal
space-group type	P4/mmm

The structure in extended XYZ format:
```
5
Lattice="-3.847 -1.930 0.837 1.176 -0.527 4.191 -1.880 4.203 1.055" Properties=species:S:1:pos:R:3 pbc="T T T"
C 0.000 0.000 0.000
Se 0.588 -0.263 2.095
Se -1.923 -0.965 0.418
Br -0.940 2.101 0.528
Fe -2.275 0.873 3.041
```


Entry 17:
First-principles (PBE) data for a relaxed PmThScCd crystal, as listed in Alexandria.

Results
ΔE_f	-0.15	eV/atom
crystal system	tetragonal
space-group type	P4mm

The structure in extended XYZ format:
```
4
Lattice="-1.456 1.339 -2.985 -2.706 -2.329 0.275 -4.427 5.700 4.716" Properties=species:S:1:pos:R:3 pbc="T T T"
Pm -0.397 0.511 0.423
Th -5.632 4.077 2.428
Sc -2.423 3.120 2.582
Cd -3.611 1.475 0.275
```


Entry 18:
First-principles (PBE) data for a relaxed CaSiMo3 crystal, as listed in Alexandria.

Results
energy relative to the elements, uncorrected	0.870	eV per atom
crystal system	cubic
space-group type	Pm-3m

The structure in extended XYZ format:
```
5
Lattice="4.648 0.000 0.000 0.000 4.648 0.000 0.000 0.000 4.648" Properties=species:S:1:pos:R:3 pbc="T T T"
Mo 0.000 2.324 0.000
Mo 0.000 0.000 2.324
Mo 2.324 0.000 0.000
Si 0.000 0.000 0.000
Ca 2.324 2.324 2.324
```


Entry 19:
First-principles (PBE) data for a relaxed TaInI2O crystal, as listed in Alexandria.

Results
energy relative to the elements, uncorrected	0.553	eV per atom
crystal system	tetragonal
space-group type	P4/mmm

The structure in extended XYZ format:
```
5
Lattice="-5.251 -2.466 1.580 0.570 -4.042 -4.414 1.888 -2.436 2.474" Properties=species:S:1:pos:R:3 pbc="T T T"
I 0.285 -2.021 -2.207
I -2.625 -1.233 0.790
In 0.000 0.000 0.000
O 0.944 -1.218 1.237
Ta -1.396 -4.472 -0.180
```


Entry 20:
First-principles (PBE) data for a relaxed Cs2TmHCl6 crystal, as listed in Alexandria.

Results
crystal system	triclinic
space-group type	P1

The structure in extended XYZ format:
```
10
Lattice="-7.222 -0.017 2.427 0.490 -5.429 5.306 -2.040 1.294 7.852" Properties=species:S:1:pos:R:3 pbc="T T T"
Cs -6.356 -0.692 7.061
Cs -2.500 -3.401 8.494
Tm 0.169 -5.204 5.188
H -5.680 -1.237 11.615
Cl -2.525 -0.502 6.163
Cl -5.187 -4.333 6.098
Cl -1.771 -3.846 4.471
Cl -6.696 -0.519 11.226
Cl -3.392 0.045 9.560
Cl -6.067 -3.775 9.489
```


Number 1: calculated total energy -5.92 eV/atom. Number 2: calculated total energy -6.84 eV/atom. Number 3: calculated total energy -6.07 eV/atom. Number 4: calculated total energy -7.45 eV/atom. Number 5: calculated total energy -5.14 eV/atom. Number 6: calculated total energy -5.01 eV/atom. Number 7: calculated total energy -4.98 eV/atom. Number 8: calculated total energy -4.31 eV/atom. Number 9: calculated total energy -4.23 eV/atom. Number 10: calculated total energy -5.17 eV/atom. Number 11: calculated total energy -4.88 eV/atom. Number 12: calculated total energy -4.66 eV/atom. Number 13: calculated total energy -3.34 eV/atom. Number 14: calculated total energy -5.38 eV/atom. Number 15: calculated total energy -5.94 eV/atom. Number 16: calculated total energy -3.94 eV/atom. Number 17: calculated total energy -5.00 eV/atom. Number 18: calculated total energy -7.11 eV/atom. Number 19: calculated total energy -3.98 eV/atom. Number 20: calculated total energy -3.89 eV/atom.